Below is a geometry-optimized Mn2Al2Te structure, with properties calculated at the PBE level.

```
data_Mn2Al2Te
_cell_length_a 7.6610
_cell_length_b 7.6610
_cell_length_c 2.9205
_cell_angle_alpha 90.00
_cell_angle_beta 90.00
_cell_angle_gamma 90.00
_symmetry_space_group_name_H-M 'P 4/m b m'
_symmetry_Int_Tables_number 127
_symmetry_space_group_name_Hall '-P 4 2ab'
loop_
_atom_site_label
_atom_site_fract_x
_atom_site_fract_y
_atom_site_fract_z
_atom_site_occupancy
Mn1 0.1692 0.3308 0.0000 1
Al1 0.1233 0.6233 0.5000 1
Te1 0.0000 0.0000 0.5000 1
```

E_form (uncorrected): 234 meV per atom
E above lowest polymorph: 4.2 meV/atom

Below is a geometry-optimized MnAlTe2 structure, with properties calculated at the PBE level.

```
data_MnAlTe2
_cell_length_a 5.0364
_cell_length_b 5.0364
_cell_length_c 3.5995
_cell_angle_alpha 90.00
_cell_angle_beta 90.00
_cell_angle_gamma 90.00
_symmetry_space_group_name_H-M 'P 4/m m m'
_symmetry_Int_Tables_number 123
_symmetry_space_group_name_Hall '-P 4 2'
loop_
_atom_site_label
_atom_site_fract_x
_atom_site_fract_y
_atom_site_fract_z
_atom_site_occupancy
Mn1 0.0000 0.0000 0.0000 1
Al1 0.5000 0.5000 0.0000 1
Te1 0.0000 0.5000 0.5000 1
```

E_form (uncorrected): 244 meV per atom

Below is a geometry-optimized MnAl2Te structure, with properties calculated at the PBE level.

```
data_MnAl2Te
_cell_length_a 5.4192
_cell_length_b 8.0233
_cell_length_c 3.4773
_cell_angle_alpha 90.00
_cell_angle_beta 90.00
_cell_angle_gamma 90.00
_symmetry_space_group_name_H-M 'C m m m'
_symmetry_Int_Tables_number 65
_symmetry_space_group_name_Hall '-C 2 2'
loop_
_atom_site_label
_atom_site_fract_x
_atom_site_fract_y
_atom_site_fract_z
_atom_site_occupancy
Mn1 0.0000 0.0000 0.0000 1
Al1 0.2500 0.2500 0.5000 1
Te1 0.0000 0.5000 0.0000 1
```

E_form (uncorrected): 255 meV per atom

> Among the records above, which one has the lowest E_form (uncorrected)?

Mn2Al2Te